1.
Compound: SrNdCdGe
Source: the Alexandria database
Functional: PBE-GGA
Structure: relaxed

Properties
The value obtained for the theoretical density is 6.1 g/cm3. The formation energy is -0.401 eV per atom.

The structure in CIF format:
```
data_SrNdCdGe
_cell_length_a 7.678
_cell_length_b 7.678
_cell_length_c 7.678
_cell_angle_alpha 90.00
_cell_angle_beta 90.00
_cell_angle_gamma 90.00
_space_group_name_H-M_alt 'F -4 3 m'
_space_group_IT_number 216
_space_group_name_Hall 'F -4 2 3'
loop_
_atom_site_label
_atom_site_type_symbol
_atom_site_fract_x
_atom_site_fract_y
_atom_site_fract_z
Sr1 Sr 0.000 0.000 0.000
Nd1 Nd 0.000 0.000 0.500
Cd1 Cd 0.250 0.250 0.750
Ge1 Ge 0.250 0.250 0.250
```

***

2.
Compound: NdThCdGe
Source: the Alexandria database
Functional: PBE-GGA
Structure: relaxed

Properties
The value obtained for the theoretical density is 8.8 g/cm3. The formation energy is -0.346 eV per atom.

The structure in CIF format:
```
data_NdThCdGe
_cell_length_a 7.525
_cell_length_b 7.525
_cell_length_c 7.525
_cell_angle_alpha 90.00
_cell_angle_beta 90.00
_cell_angle_gamma 90.00
_space_group_name_H-M_alt 'F -4 3 m'
_space_group_IT_number 216
_space_group_name_Hall 'F -4 2 3'
loop_
_atom_site_label
_atom_site_type_symbol
_atom_site_fract_x
_atom_site_fract_y
_atom_site_fract_z
Nd1 Nd 0.000 0.000 0.000
Th1 Th 0.000 0.000 0.500
Cd1 Cd 0.250 0.250 0.250
Ge1 Ge 0.250 0.250 0.750
```

***

3.
Compound: Cd2NiGe2
Source: the Alexandria database
Functional: PBE-GGA
Structure: relaxed

Properties
The value obtained for the theoretical density is 7.5 g/cm3. The formation energy is 0.064 eV per atom.

The structure in CIF format:
```
data_Cd2NiGe2
_cell_length_a 6.216
_cell_length_b 6.216
_cell_length_c 4.923
_cell_angle_alpha 90.00
_cell_angle_beta 90.00
_cell_angle_gamma 90.00
_space_group_name_H-M_alt 'P 4/m b m'
_space_group_IT_number 127
_space_group_name_Hall '-P 4 2ab'
loop_
_atom_site_label
_atom_site_type_symbol
_atom_site_fract_x
_atom_site_fract_y
_atom_site_fract_z
Cd1 Cd 0.180 0.320 0.000
Ni1 Ni 0.000 0.000 0.500
Ge1 Ge 0.148 0.648 0.500
```

***

4.
Compound: Cd3NiGe
Source: the Alexandria database
Functional: PBE-GGA
Structure: relaxed

Properties
The value obtained for the theoretical density is 6.6 g/cm3. The formation energy is 0.390 eV per atom.

The structure in CIF format:
```
data_Cd3NiGe
_cell_length_a 4.914
_cell_length_b 4.914
_cell_length_c 4.914
_cell_angle_alpha 90.00
_cell_angle_beta 90.00
_cell_angle_gamma 90.00
_space_group_name_H-M_alt 'P m -3 m'
_space_group_IT_number 221
_space_group_name_Hall '-P 4 2 3'
loop_
_atom_site_label
_atom_site_type_symbol
_atom_site_fract_x
_atom_site_fract_y
_atom_site_fract_z
Cd1 Cd 0.000 0.000 0.500
Ni1 Ni 0.000 0.000 0.000
Ge1 Ge 0.500 0.500 0.500
```

***

5.
Compound: CdNi2Ge
Source: the Alexandria database
Functional: PBE-GGA
Structure: relaxed

Properties
The value obtained for the theoretical density is 8.2 g/cm3. The formation energy is -0.087 eV per atom.

The structure in CIF format:
```
data_CdNi2Ge
_cell_length_a 4.0274
_cell_length_b 4.0274
_cell_length_c 13.1449
_cell_angle_alpha 90.00
_cell_angle_beta 90.00
_cell_angle_gamma 120.00
_space_group_name_H-M_alt 'R -3 m'
_space_group_IT_number 166
_space_group_name_Hall '-R 3 2"'
loop_
_atom_site_label
_atom_site_type_symbol
_atom_site_fract_x
_atom_site_fract_y
_atom_site_fract_z
Cd1 Cd 0.0000 0.0000 0.0000
Ni1 Ni 0.0000 0.0000 0.2072
Ge1 Ge 0.0000 0.0000 0.5000
```

***

6.
Compound: CdNiGe
Source: the Alexandria database
Functional: PBE-GGA
Structure: relaxed

Properties
The value obtained for the theoretical density is 8.1 g/cm3. The formation energy is -0.047 eV per atom.

The structure in CIF format:
```
data_CdNiGe
_cell_length_a 5.231
_cell_length_b 8.015
_cell_length_c 9.547
_cell_angle_alpha 90.00
_cell_angle_beta 90.00
_cell_angle_gamma 90.00
_space_group_name_H-M_alt 'F m m m'
_space_group_IT_number 69
_space_group_name_Hall '-F 2 2'
loop_
_atom_site_label
_atom_site_type_symbol
_atom_site_fract_x
_atom_site_fract_y
_atom_site_fract_z
Cd1 Cd 0.000 0.177 0.000
Ni1 Ni 0.250 0.250 0.250
Ge1 Ge 0.000 0.000 0.322
```

***

7.
Compound: CdNiGe
Source: the Alexandria database
Functional: PBE-GGA
Structure: relaxed

Properties
The value obtained for the theoretical density is 7.6 g/cm3. The formation energy is 0.007 eV per atom.

The structure in CIF format:
```
data_CdNiGe
_cell_length_a 5.966
_cell_length_b 5.966
_cell_length_c 5.966
_cell_angle_alpha 90.00
_cell_angle_beta 90.00
_cell_angle_gamma 90.00
_space_group_name_H-M_alt 'F -4 3 m'
_space_group_IT_number 216
_space_group_name_Hall 'F -4 2 3'
loop_
_atom_site_label
_atom_site_type_symbol
_atom_site_fract_x
_atom_site_fract_y
_atom_site_fract_z
Cd1 Cd 0.000 0.000 0.000
Ni1 Ni 0.250 0.250 0.750
Ge1 Ge 0.000 0.000 0.500
```

***

8.
Compound: CdNi2Ge2
Source: the Alexandria database
Functional: PBE-GGA
Structure: relaxed

Properties
The value obtained for the theoretical density is 8.2 g/cm3. The formation energy is -0.021 eV per atom.

The structure in CIF format:
```
data_CdNi2Ge2
_cell_length_a 7.166
_cell_length_b 7.166
_cell_length_c 2.956
_cell_angle_alpha 90.00
_cell_angle_beta 90.00
_cell_angle_gamma 90.00
_space_group_name_H-M_alt 'P 4/m b m'
_space_group_IT_number 127
_space_group_name_Hall '-P 4 2ab'
loop_
_atom_site_label
_atom_site_type_symbol
_atom_site_fract_x
_atom_site_fract_y
_atom_site_fract_z
Cd1 Cd 0.000 0.000 0.000
Ni1 Ni 0.132 0.368 0.000
Ge1 Ge 0.158 0.658 0.500
```

***

9.
Compound: CdNi2Ge
Source: the Alexandria database
Functional: PBE-GGA
Structure: relaxed

Properties
The value obtained for the theoretical density is 7.9 g/cm3. The formation energy is -0.028 eV per atom.

The structure in CIF format:
```
data_CdNi2Ge
_cell_length_a 3.9330
_cell_length_b 3.9330
_cell_length_c 14.2640
_cell_angle_alpha 90.00
_cell_angle_beta 90.00
_cell_angle_gamma 120.00
_space_group_name_H-M_alt 'R 3 m'
_space_group_IT_number 160
_space_group_name_Hall 'R 3 -2"'
loop_
_atom_site_label
_atom_site_type_symbol
_atom_site_fract_x
_atom_site_fract_y
_atom_site_fract_z
Cd1 Cd 0.0000 0.0000 0.0000
Ni1 Ni 0.0000 0.0000 0.2048
Ni2 Ni 0.0000 0.0000 0.4422
Ge1 Ge 0.0000 0.0000 0.8128
```

***

10.
Compound: CdNi2Ge
Source: the Alexandria database
Functional: PBE-GGA
Structure: relaxed

Properties
The value obtained for the theoretical density is 8.0 g/cm3. The formation energy is 0.158 eV per atom.

The structure in CIF format:
```
data_CdNi2Ge
_cell_length_a 6.772
_cell_length_b 6.772
_cell_length_c 5.463
_cell_angle_alpha 90.00
_cell_angle_beta 90.00
_cell_angle_gamma 90.00
_space_group_name_H-M_alt 'I -4 2 d'
_space_group_IT_number 122
_space_group_name_Hall 'I -4 2bw'
loop_
_atom_site_label
_atom_site_type_symbol
_atom_site_fract_x
_atom_site_fract_y
_atom_site_fract_z
Cd1 Cd 0.000 0.000 0.000
Ni1 Ni 0.208 0.250 0.625
Ge1 Ge 0.000 0.000 0.500
```

***

11.
Compound: CdNi2Ge
Source: the Alexandria database
Functional: PBE-GGA
Structure: relaxed

Properties
The value obtained for the theoretical density is 8.9 g/cm3. The formation energy is -0.122 eV per atom.

The structure in CIF format:
```
data_CdNi2Ge
_cell_length_a 2.947
_cell_length_b 2.947
_cell_length_c 6.490
_cell_angle_alpha 90.00
_cell_angle_beta 90.00
_cell_angle_gamma 90.00
_space_group_name_H-M_alt 'P 4/m m m'
_space_group_IT_number 123
_space_group_name_Hall '-P 4 2'
loop_
_atom_site_label
_atom_site_type_symbol
_atom_site_fract_x
_atom_site_fract_y
_atom_site_fract_z
Cd1 Cd 0.000 0.000 0.000
Ni1 Ni 0.500 0.500 0.298
Ge1 Ge 0.000 0.000 0.500
```